1.
Entry from Alexandria: a relaxed structure of PmZrGe2Rh5 (PBE-GGA).

```
data_PmZrGe2Rh5
_cell_length_a 3.9797
_cell_length_b 3.9797
_cell_length_c 11.3870
_cell_angle_alpha 90.00
_cell_angle_beta 90.00
_cell_angle_gamma 90.00
_space_group_name_H-M_alt 'P 1'
_space_group_IT_number 1
_space_group_name_Hall 'P 1'
loop_
_atom_site_label
_atom_site_fract_x
_atom_site_fract_y
_atom_site_fract_z
_atom_site_occupancy
Zr1 0.0000 0.0000 0.0000 1
Rh1 0.5000 0.0000 0.1643 1
Ge1 0.5000 0.5000 0.7110 1
Rh2 0.5000 0.0000 0.8357 1
Rh3 0.0000 0.5000 0.1643 1
Ge2 0.5000 0.5000 0.2890 1
Rh4 0.5000 0.5000 0.5000 1
Rh5 0.0000 0.5000 0.8357 1
Pm1 0.0000 0.0000 0.5000 1
```

- space-group type = P4/mmm, No. 123
- energy (eV per atom) = -7.04
- formation energy from the elements (eV per atom) = -0.457
- D(E_F) (states/eV per atom) = 0.697

2.
Entry from Alexandria: a relaxed structure of Pm2ZrGe3Rh4 (PBE-GGA).

```
data_Pm2ZrGe3Rh4
_cell_length_a 4.1645
_cell_length_b 4.1645
_cell_length_c 10.9960
_cell_angle_alpha 90.00
_cell_angle_beta 90.00
_cell_angle_gamma 90.00
_space_group_name_H-M_alt 'P 1'
_space_group_IT_number 1
_space_group_name_Hall 'P 1'
loop_
_atom_site_label
_atom_site_fract_x
_atom_site_fract_y
_atom_site_fract_z
_atom_site_occupancy
Rh1 0.0000 0.5000 0.3499 1
Pm1 0.0000 0.5000 0.7667 1
Ge1 0.0000 0.5000 0.1243 1
Rh2 0.5000 0.5000 0.0000 1
Rh3 0.5000 0.0000 0.6501 1
Ge2 0.5000 0.0000 0.8757 1
Rh4 0.0000 0.0000 0.0000 1
Zr1 0.5000 0.5000 0.5000 1
Pm2 0.5000 0.0000 0.2333 1
Ge3 0.0000 0.0000 0.5000 1
```

- space-group type = P-4m2, No. 115
- energy (eV per atom) = -7.03
- formation energy from the elements (eV per atom) = -0.895
- D(E_F) (states/eV per atom) = 0.439

3.
Entry from Alexandria: a relaxed structure of Pm2GeRu (PBE-GGA).

```
data_Pm2GeRu
_cell_length_a 4.7925
_cell_length_b 8.9529
_cell_length_c 5.8396
_cell_angle_alpha 112.52
_cell_angle_beta 114.23
_cell_angle_gamma 90.00
_space_group_name_H-M_alt 'P 1'
_space_group_IT_number 1
_space_group_name_Hall 'P 1'
loop_
_atom_site_label
_atom_site_fract_x
_atom_site_fract_y
_atom_site_fract_z
_atom_site_occupancy
Pm1 0.1782 0.5894 0.3575 1
Pm2 0.1793 0.0894 0.3575 1
Ge1 0.4936 0.2500 0.0000 1
Ru1 0.0067 0.7500 0.0000 1
Ge2 0.5064 0.7500 0.0000 1
Ru2 0.9933 0.2500 0.0000 1
Pm3 0.8207 0.9106 0.6425 1
Pm4 0.8218 0.4106 0.6425 1
```

- space-group type = C2/c, No. 15
- energy (eV per atom) = -6.19
- formation energy from the elements (eV per atom) = -0.340
- D(E_F) (states/eV per atom) = 0.894

4.
Entry from Alexandria: a relaxed structure of PmGeRu2 (PBE-GGA).

```
data_PmGeRu2
_cell_length_a 3.2534
_cell_length_b 3.2534
_cell_length_c 6.6031
_cell_angle_alpha 90.00
_cell_angle_beta 90.00
_cell_angle_gamma 90.00
_space_group_name_H-M_alt 'P 1'
_space_group_IT_number 1
_space_group_name_Hall 'P 1'
loop_
_atom_site_label
_atom_site_fract_x
_atom_site_fract_y
_atom_site_fract_z
_atom_site_occupancy
Ru1 0.0000 0.0000 0.2918 1
Pm1 0.5000 0.5000 0.0000 1
Ru2 0.0000 0.0000 0.7082 1
Ge1 0.5000 0.5000 0.5000 1
```

- space-group type = P4/mmm, No. 123
- energy (eV per atom) = -7.12
- formation energy from the elements (eV per atom) = -0.139
- D(E_F) (states/eV per atom) = 0.768

5.
Entry from Alexandria: a relaxed structure of Pm4Ge2Ru (PBE-GGA).

```
data_Pm4Ge2Ru
_cell_length_a 4.5657
_cell_length_b 7.3058
_cell_length_c 7.1717
_cell_angle_alpha 118.27
_cell_angle_beta 108.56
_cell_angle_gamma 90.00
_space_group_name_H-M_alt 'P 1'
_space_group_IT_number 1
_space_group_name_Hall 'P 1'
loop_
_atom_site_label
_atom_site_fract_x
_atom_site_fract_y
_atom_site_fract_z
_atom_site_occupancy
Pm1 0.6057 0.2935 0.2115 1
Ru1 0.0000 0.0000 0.0000 1
Pm2 0.1318 0.7797 0.2636 1
Ge1 0.7727 0.7653 0.5454 1
Pm3 0.3943 0.7065 0.7885 1
Ge2 0.2273 0.2347 0.4546 1
Pm4 0.8682 0.2203 0.7364 1
```

- space-group type = C2/m, No. 12
- energy (eV per atom) = -5.83
- formation energy from the elements (eV per atom) = -0.469
- energy above the lowest structure with this stoichiometry (meV/atom) = 0.0
- D(E_F) (states/eV per atom) = 0.872

6.
Entry from Alexandria: a relaxed structure of Pm6Ge3Ru (PBE-GGA).

```
data_Pm6Ge3Ru
_cell_length_a 8.5880
_cell_length_b 8.5880
_cell_length_c 8.5880
_cell_angle_alpha 99.59
_cell_angle_beta 99.59
_cell_angle_gamma 99.59
_space_group_name_H-M_alt 'P 1'
_space_group_IT_number 1
_space_group_name_Hall 'P 1'
loop_
_atom_site_label
_atom_site_fract_x
_atom_site_fract_y
_atom_site_fract_z
_atom_site_occupancy
Pm1 0.4344 0.5716 0.8115 1
Pm2 0.1885 0.5656 0.4284 1
Ru1 0.5000 0.5000 0.5000 1
Ge1 0.6262 0.1227 0.2962 1
Pm3 0.5656 0.4284 0.1885 1
Pm4 0.8115 0.4344 0.5716 1
Ge2 0.2962 0.6262 0.1227 1
Ge3 0.3738 0.8773 0.7038 1
Pm5 0.9574 0.0627 0.3173 1
Ge4 0.8773 0.7038 0.3738 1
Pm6 0.0627 0.3173 0.9574 1
Ge5 0.7038 0.3738 0.8773 1
Pm7 0.9373 0.6827 0.0426 1
Pm8 0.3173 0.9574 0.0627 1
Pm9 0.4284 0.1885 0.5656 1
Pm10 0.0426 0.9373 0.6827 1
Pm11 0.6827 0.0426 0.9373 1
Ge6 0.1227 0.2962 0.6262 1
Pm12 0.5716 0.8115 0.4344 1
Ru2 0.0000 0.0000 0.0000 1
```

- space-group type = R-3, No. 148
- energy (eV per atom) = -5.62
- formation energy from the elements (eV per atom) = -0.455
- D(E_F) (states/eV per atom) = 0.824